# La8Zn2Rh, relaxed, DFT GGA-PBE
data_La8Zn2Rh
_chemical_formula_sum 'La16 Zn4 Rh2'
_symmetry_space_group_name_H-M 'I m m m'
_symmetry_Int_Tables_number 71
_symmetry_space_group_name_Hall '-I 2 2'
_cell_length_a 4.820
_cell_length_b 9.322
_cell_length_c 14.479
_cell_angle_alpha 90.00
_cell_angle_beta 90.00
_cell_angle_gamma 90.00
loop_
_atom_site_label
_atom_site_fract_x
_atom_site_fract_y
_atom_site_fract_z
La1 0.000 0.000 0.123
La2 0.000 0.216 0.347
La3 0.000 0.345 0.000
Zn1 0.000 0.500 0.206
Rh1 0.000 0.500 0.500
# ΔE_f: -0.15 eV per atom
# relative energy among the computed polymorphs: 0.903 eV per formula unit